A relaxed structure of Cs2HgWBr6. Source: Alexandria, functional PBE.

The structure in POSCAR format:
```
Cs2HgWBr6
1.0
8.369 0.000 0.000
0.000 8.369 0.000
4.185 4.185 5.918
Cs Br Hg W
2 6 1 1
direct
0.750 0.250 0.500
0.250 0.750 0.500
0.284 0.284 0.432
0.716 0.716 0.568
0.284 0.284 0.000
0.716 0.716 0.000
0.716 0.284 0.000
0.284 0.716 0.000
0.000 0.000 0.000
0.500 0.500 0.000
```

- E_tot (eV per atom) = -3.421
- size of the total moment (μB/f.u.) = 2.00
- formation energy from raw total energies (eV per atom) = -0.921


A relaxed structure of Y5Er4Tl. Source: Alexandria, functional PBE.

The structure in POSCAR format:
```
Y5Er4Tl
1.0
6.157 0.000 0.000
3.078 7.278 0.000
3.078 0.000 7.278
Y Er Tl
5 4 1
direct
0.819 0.377 0.914
0.196 0.914 0.623
0.734 0.086 0.377
0.110 0.623 0.086
0.635 0.000 0.000
0.414 0.401 0.695
0.814 0.695 0.599
0.109 0.305 0.401
0.509 0.599 0.305
0.169 0.000 0.000
```

- E_tot (eV per atom) = -5.077
- polymorph energy (0 for the lowest one) (eV per atom) = 0.160
- size of the total moment (μB/f.u.) = 0.01
- calculated formation energy (eV per atom) = 0.216


A relaxed structure of Rb4Pr3BiO8. Source: Alexandria, functional PBE.

The structure in POSCAR format:
```
Rb4Pr3BiO8
1.0
-7.247 0.290 -1.354
1.372 -1.344 -7.635
2.647 -4.846 4.893
Rb Pr Bi O
4 3 1 8
direct
0.500 0.000 0.000
0.500 0.000 0.500
0.000 0.000 0.000
0.000 0.000 0.500
0.500 0.500 0.000
0.500 0.500 0.500
0.000 0.500 0.500
0.000 0.500 0.000
0.230 0.686 0.956
0.230 0.686 0.459
0.273 0.319 0.546
0.727 0.686 0.956
0.273 0.314 0.044
0.727 0.681 0.454
0.770 0.314 0.541
0.770 0.314 0.044
```

- E_tot (eV per atom) = -6.079
- size of the total moment (μB/f.u.) = 0.00
- formation energy from raw total energies (eV per atom) = -2.220


A relaxed structure of ErPu3Ru4. Source: Alexandria, functional PBE.

The structure in POSCAR format:
```
ErPu3Ru4
1.0
-0.600 -0.820 3.199
3.786 -2.876 -0.028
5.556 7.285 2.909
Ru Pu Er
4 3 1
direct
0.000 0.000 0.500
0.000 0.500 0.748
0.000 0.000 0.000
0.000 0.500 0.252
0.500 0.000 0.249
0.500 0.500 0.500
0.500 0.000 0.751
0.500 0.500 0.000
```

- E_tot (eV per atom) = -10.755
- size of the total moment (μB/f.u.) = 4.15
- calculated formation energy (eV per atom) = -0.173


A relaxed structure of Li2Ni2N. Source: Alexandria, functional PBE.

The structure in POSCAR format:
```
Li2Ni2N
1.0
-1.857 1.182 2.976
-3.186 -1.019 -1.584
0.334 -3.582 1.631
Li Ni N
2 2 1
direct
0.500 0.500 0.500
0.000 0.000 0.500
0.000 0.500 0.000
0.500 0.000 0.000
0.000 0.000 0.000
```

- E_tot (eV per atom) = -4.999
- size of the total moment (μB/f.u.) = 0.73
- formation energy from raw total energies (eV per atom) = -0.256


A relaxed structure of Y6InFe2. Source: Alexandria, functional PBE.

The structure in POSCAR format:
```
Y6InFe2
1.0
7.834 0.536 -3.165
-4.412 6.950 -1.978
0.107 -0.536 8.449
Y In Fe
12 2 4
direct
0.522 0.811 0.711
0.478 0.189 0.289
0.100 0.811 0.289
0.900 0.189 0.711
0.787 0.016 0.229
0.213 0.984 0.771
0.213 0.443 0.229
0.787 0.557 0.771
0.703 0.312 0.014
0.297 0.688 0.986
0.297 0.312 0.609
0.703 0.688 0.391
0.000 0.500 0.500
0.000 0.000 0.000
0.500 0.107 0.607
0.500 0.893 0.393
0.613 0.613 0.000
0.387 0.387 0.000
```

- E_tot (eV per atom) = -6.660
- size of the total moment (μB/f.u.) = 1.75
- calculated formation energy (eV per atom) = -0.166


A relaxed structure of LuPaGaRh. Source: Alexandria, functional PBE.

The structure in POSCAR format:
```
LuPaGaRh
1.0
-2.276 3.512 -2.593
0.434 0.112 -4.903
-3.855 -1.144 -2.840
Pa Rh Lu Ga
1 1 1 1
direct
0.000 0.000 0.000
0.750 0.750 0.750
0.500 0.500 0.500
0.250 0.250 0.250
```

- E_tot (eV per atom) = -6.564
- size of the total moment (μB/f.u.) = 0.00
- calculated formation energy (eV per atom) = -0.465


A relaxed structure of TiMnCoRe. Source: Alexandria, functional PBE.

The structure in POSCAR format:
```
TiMnCoRe
1.0
-0.613 -1.091 4.030
2.572 -2.791 1.845
2.716 1.275 2.968
Re Mn Co Ti
1 1 1 1
direct
0.500 0.500 0.500
0.750 0.750 0.750
0.000 0.000 0.000
0.250 0.250 0.250
```

- E_tot (eV per atom) = -9.292
- size of the total moment (μB/f.u.) = 2.81
- calculated formation energy (eV per atom) = -0.138


A relaxed structure of Tb3Y2Co2. Source: Alexandria, functional PBE.

The structure in POSCAR format:
```
Tb3Y2Co2
1.0
-0.382 -3.577 -0.869
1.721 3.000 -5.225
6.625 -2.044 5.502
Tb Y Co
3 2 2
direct
0.500 0.000 0.000
0.618 0.236 0.427
0.382 0.764 0.573
0.829 0.658 0.196
0.171 0.342 0.804
0.822 0.644 0.758
0.178 0.356 0.242
```

- E_tot (eV per atom) = -6.012
- size of the total moment (μB/f.u.) = 0.00
- calculated formation energy (eV per atom) = -0.151


A relaxed structure of TiNiW2. Source: Alexandria, functional PBE.

The structure in POSCAR format:
```
TiNiW2
1.0
-0.031 -2.064 3.849
0.509 2.268 3.698
-3.372 0.515 2.727
Ni W Ti
1 2 1
direct
0.500 0.500 0.500
0.250 0.250 0.250
0.750 0.750 0.750
0.000 0.000 0.000
```

- E_tot (eV per atom) = -9.619
- polymorph energy (0 for the lowest one) (eV per atom) = 0.000
- size of the total moment (μB/f.u.) = 0.00
- calculated formation energy (eV per atom) = 0.277


A relaxed structure of YHgAsSe2. Source: Alexandria, functional PBE.

The structure in POSCAR format:
```
YHgAsSe2
1.0
-4.739 0.649 -2.602
-2.438 -3.240 3.633
-1.165 4.518 3.248
Y As Hg Se
1 1 1 2
direct
0.000 0.000 0.000
0.000 0.000 0.500
0.500 0.500 0.500
0.000 0.500 0.000
0.500 0.000 0.000
```

- E_tot (eV per atom) = -3.772
- polymorph energy (0 for the lowest one) (eV per atom) = 0.000
- size of the total moment (μB/f.u.) = 1.19
- formation energy from raw total energies (eV per atom) = -0.096


A relaxed structure of Sr3PtW. Source: Alexandria, functional PBE.

The structure in POSCAR format:
```
Sr3PtW
1.0
5.598 0.000 0.000
0.000 5.598 0.000
0.000 0.000 5.598
Sr W Pt
3 1 1
direct
0.000 0.500 0.000
0.000 0.000 0.500
0.500 0.000 0.000
0.000 0.000 0.000
0.500 0.500 0.500
```

- E_tot (eV per atom) = -3.645
- polymorph energy (0 for the lowest one) (eV per atom) = 0.498
- size of the total moment (μB/f.u.) = 0.00
- calculated formation energy (eV per atom) = 1.163


A relaxed structure of TiReCl2. Source: Alexandria, functional PBE.

The structure in POSCAR format:
```
TiReCl2
1.0
1.716 0.000 8.220
-0.858 1.486 8.220
-0.858 -1.486 8.220
Re Cl Ti
1 2 1
direct
0.000 0.000 0.000
0.904 0.904 0.904
0.096 0.096 0.096
0.500 0.500 0.500
```

- E_tot (eV per atom) = -6.118
- polymorph energy (0 for the lowest one) (eV per atom) = 0.000
- size of the total moment (μB/f.u.) = 0.00
- formation energy from raw total energies (eV per atom) = -0.109


A relaxed structure of Pa2VCo4As3. Source: Alexandria, functional PBE.

The structure in POSCAR format:
```
Pa2VCo4As3
1.0
3.999 0.000 0.000
0.000 3.999 0.000
0.000 0.000 9.668
Pa V Co As
2 1 4 3
direct
0.500 0.000 0.244
0.000 0.500 0.756
0.500 0.500 0.500
0.500 0.500 0.000
0.000 0.000 0.000
0.500 0.000 0.627
0.000 0.500 0.373
0.000 0.000 0.500
0.500 0.000 0.868
0.000 0.500 0.132
```

- E_tot (eV per atom) = -7.699
- size of the total moment (μB/f.u.) = 1.99
- calculated formation energy (eV per atom) = -0.650


A relaxed structure of CaLaGdIn. Source: Alexandria, functional PBE.

The structure in POSCAR format:
```
CaLaGdIn
1.0
5.631 0.000 0.000
2.816 4.877 0.000
2.816 1.626 4.598
Ca Gd In La
1 1 1 1
direct
0.750 0.750 0.750
0.500 0.500 0.500
0.250 0.250 0.250
0.000 0.000 0.000
```

- E_tot (eV per atom) = -6.120
- size of the total moment (μB/f.u.) = 7.40
- calculated formation energy (eV per atom) = -0.183


A relaxed structure of Mn3AlFe. Source: Alexandria, functional PBE.

The structure in POSCAR format:
```
Mn3AlFe
1.0
-2.125 -3.613 0.801
2.388 -0.633 3.479
-2.827 2.181 2.337
Mn Fe Al
3 1 1
direct
0.000 0.500 0.000
0.000 0.000 0.500
0.500 0.000 0.000
0.000 0.000 0.000
0.500 0.500 0.500
```

- E_tot (eV per atom) = -7.077
- polymorph energy (0 for the lowest one) (eV per atom) = 0.000
- size of the total moment (μB/f.u.) = 6.57
- calculated formation energy (eV per atom) = 0.866


A relaxed structure of ZnAsAu2. Source: Alexandria, functional PBE.

The structure in POSCAR format:
```
ZnAsAu2
1.0
4.162 0.000 0.000
0.000 4.170 0.000
0.000 0.000 4.073
As Au Zn
1 2 1
direct
0.000 0.500 0.500
0.000 0.000 0.000
0.500 0.500 0.000
0.500 0.000 0.500
```

- E_tot (eV per atom) = -3.077
- polymorph energy (0 for the lowest one) (eV per atom) = 0.028
- size of the total moment (μB/f.u.) = 0.00
- calculated formation energy (eV per atom) = 0.042


A relaxed structure of ScTa2Cl. Source: Alexandria, functional PBE.

The structure in POSCAR format:
```
ScTa2Cl
1.0
9.643 0.123 0.073
9.067 3.287 0.073
9.067 1.652 2.842
Cl Sc Ta
1 1 2
direct
0.483 0.483 0.483
0.753 0.753 0.753
0.001 0.001 0.001
0.263 0.263 0.263
```

- E_tot (eV per atom) = -8.123
- polymorph energy (0 for the lowest one) (eV per atom) = 0.045
- size of the total moment (μB/f.u.) = 1.18
- formation energy from raw total energies (eV per atom) = -0.152


A relaxed structure of Zr2AlHgO. Source: Alexandria, functional PBE.

The structure in POSCAR format:
```
Zr2AlHgO
1.0
-1.410 -5.141 -1.066
2.423 -1.286 2.998
-4.130 0.405 3.512
O Hg Zr Al
1 1 2 1
direct
0.000 0.500 0.000
0.000 0.000 0.000
0.000 0.000 0.500
0.500 0.000 0.000
0.500 0.500 0.500
```

- E_tot (eV per atom) = -4.385
- size of the total moment (μB/f.u.) = 0.00
- formation energy from raw total energies (eV per atom) = 0.835


A relaxed structure of HfTlCoAg2. Source: Alexandria, functional PBE.

The structure in POSCAR format:
```
HfTlCoAg2
1.0
5.195 0.000 0.000
0.000 5.195 0.000
0.000 0.000 5.566
Co Tl Hf Ag
1 1 1 2
direct
0.500 0.500 0.500
0.000 0.000 0.500
0.000 0.000 0.000
0.000 0.500 0.000
0.500 0.000 0.000
```

- E_tot (eV per atom) = -3.440
- size of the total moment (μB/f.u.) = 2.05
- calculated formation energy (eV per atom) = 1.586